A plane-wave DFT calculation with PBE was carried out for an optimized crystal structure of Sr3Zn5H12.

As for the total magnetization: 0.00 μB per formula unit. The density of states at the Fermi level comes out at 0.232 states/eV per atom. The total energy is -2.66 eV/atom.

It has space group Ia-3d (No. 230), with a = 12.575 Å, b = 12.575 Å, c = 12.575 Å, α = 90.00°, β = 90.00° and γ = 90.00°. The distinct sites, in fractional coordinates, are Sr at (0.000, 0.250, 0.125), Zn at (0.000, 0.000, 0.000), Zn at (0.000, 0.250, 0.375) and H at (0.041, 0.054, 0.658).

---

A plane-wave DFT calculation with PBE was carried out for an optimized crystal structure of ScPaCoRe.

Its formation energy is -0.19 eV/atom. As for the total magnetization: 0.29 μB per formula unit. The density of states at the Fermi level comes out at 0.488 states/eV per atom. The total energy is -9.03 eV/atom.

It has space group F-43m (No. 216), with a = 6.618 Å, b = 6.618 Å, c = 6.618 Å, α = 90.00°, β = 90.00° and γ = 90.00°. The distinct sites, in fractional coordinates, are Sc at (0.000, 0.000, 0.000), Pa at (0.000, 0.000, 0.500), Co at (0.250, 0.250, 0.250) and Re at (0.250, 0.250, 0.750).

---

A plane-wave DFT calculation with PBE was carried out for an optimized crystal structure of Ta2P4W.

Its formation energy is 0.48 eV/atom. As for the total magnetization: 0.00 μB per formula unit. The density of states at the Fermi level comes out at 0.829 states/eV per atom. The total energy is -7.84 eV/atom.

It has space group I4/mmm (No. 139), with a = 4.640 Å, b = 4.640 Å, c = 12.410 Å, α = 90.00°, β = 90.00° and γ = 90.00°. The distinct sites, in fractional coordinates, are Ta at (0.000, 0.000, 0.108), P at (0.000, 0.000, 0.301), P at (0.000, 0.500, 0.000) and W at (0.000, 0.000, 0.500).